1.
VASP calculation (PBE) on a relaxed Ac2PmTc crystal.

Output
SG: R-3m
E (eV/atom): -5.01
Density of states at the Fermi level (states/eV/f.u.): 5.24
Formation energy (eV per atom): 0.823

a = 3.6701 Å, b = 3.6701 Å, c = 11.7248 Å
α = 81.00°, β = 81.00°, γ = 60.00°
With the nearest neighbours (Å) after each atom.
Fractional positions:
1 Ac 0.0761 0.0761 0.7718  1 Tc 2.63
2 Ac 0.9239 0.9239 0.2282  1 Tc 2.63
3 Pm 0.5000 0.5000 0.5000  6 Pm 3.67, 6 Ac 3.78
4 Tc 0.0000 0.0000 0.0000  2 Ac 2.63


2.
VASP calculation (PBE) on a relaxed LiCaCd4 crystal.

Output
SG: F-43m
E (eV/atom): -1.48
Density of states at the Fermi level (states/eV/f.u.): 3.70
Formation energy (eV per atom): -0.214

a = 5.9009 Å, b = 5.9009 Å, c = 5.9009 Å
α = 60.00°, β = 60.00°, γ = 60.00°
With the nearest neighbours (Å) after each atom.
Fractional positions:
1 Li 0.2500 0.2500 0.2500  12 Cd 3.46, 4 Ca 3.61
2 Cd 0.6245 0.1264 0.6245  6 Cd 2.94-2.96
3 Cd 0.6245 0.6245 0.1264  6 Cd 2.94-2.96
4 Cd 0.6245 0.6245 0.6245  6 Cd 2.94-2.96
5 Cd 0.1264 0.6245 0.6245  6 Cd 2.94-2.96
6 Ca 0.0000 0.0000 0.0000  12 Cd 3.46, 4 Li 3.61


3.
VASP calculation (PBE) on a relaxed KCd3Fe crystal.

Output
SG: Pm-3m
E (eV/atom): -1.19
Density of states at the Fermi level (states/eV/f.u.): 15.39
Formation energy (eV per atom): 1.276

a = 6.3284 Å, b = 6.3284 Å, c = 6.3284 Å
α = 90.00°, β = 90.00°, γ = 90.00°
With the nearest neighbours (Å) after each atom.
Fractional positions:
1 Fe 0.5000 0.5000 0.5000  12 Cd 4.47
2 Cd 0.0000 0.0000 0.5000  2 K 3.16
3 Cd 0.5000 0.0000 0.0000  2 K 3.16
4 Cd 0.0000 0.5000 0.0000  2 K 3.16
5 K 0.0000 0.0000 0.0000  6 Cd 3.16


4.
VASP calculation (PBE) on a relaxed Ba4HoCd5 crystal.

Output
SG: P4/mmm
E (eV/atom): -1.98
Density of states at the Fermi level (states/eV/f.u.): 5.30
Formation energy (eV per atom): -0.296

a = 4.0827 Å, b = 4.0827 Å, c = 21.2354 Å
α = 90.00°, β = 90.00°, γ = 90.00°
With the nearest neighbours (Å) after each atom.
Fractional positions:
1 Ba 0.0000 0.0000 0.3950  8 Cd 3.64-3.65
2 Ba 0.0000 0.0000 0.8156  8 Cd 3.67-3.71, 1 Ho 3.91, 4 Ba 4.08
3 Ba 0.0000 0.0000 0.1844  8 Cd 3.67-3.71, 1 Ho 3.91, 4 Ba 4.08
4 Ba 0.0000 0.0000 0.6050  8 Cd 3.64-3.65
5 Cd 0.5000 0.5000 0.2907  8 Ba 3.64-3.67
6 Cd 0.5000 0.5000 0.5000  8 Ba 3.65, 4 Cd 4.08
7 Cd 0.5000 0.5000 0.0748  1 Cd 3.18, 4 Ho 3.30
8 Cd 0.5000 0.5000 0.9252  1 Cd 3.18, 4 Ho 3.30
9 Cd 0.5000 0.5000 0.7093  8 Ba 3.64-3.67
10 Ho 0.0000 0.0000 0.0000  8 Cd 3.30


Copy entry 2 word for word.
VASP calculation (PBE) on a relaxed LiCaCd4 crystal.

Output
SG: F-43m
E (eV/atom): -1.48
Density of states at the Fermi level (states/eV/f.u.): 3.70
Formation energy (eV per atom): -0.214

a = 5.9009 Å, b = 5.9009 Å, c = 5.9009 Å
α = 60.00°, β = 60.00°, γ = 60.00°
With the nearest neighbours (Å) after each atom.
Fractional positions:
1 Li 0.2500 0.2500 0.2500  12 Cd 3.46, 4 Ca 3.61
2 Cd 0.6245 0.1264 0.6245  6 Cd 2.94-2.96
3 Cd 0.6245 0.6245 0.1264  6 Cd 2.94-2.96
4 Cd 0.6245 0.6245 0.6245  6 Cd 2.94-2.96
5 Cd 0.1264 0.6245 0.6245  6 Cd 2.94-2.96
6 Ca 0.0000 0.0000 0.0000  12 Cd 3.46, 4 Li 3.61


What is the density of states at the Fermi level in the second record? 3.70 states/eV/f.u.


Number 4 is which compound? Ba4HoCd5